(1)
Entry from the Alexandria database: a relaxed structure of CuNiAu (GGA-PBE). Values from VASP.

```
&SYSTEM
  ibrav = 0, nat = 3, ntyp = 3
/
ATOMIC_SPECIES
Cu 63.55 Cu.upf
Ni 58.69 Ni.upf
Au 196.97 Au.upf
CELL_PARAMETERS angstrom
4.205 0.000 0.000
-2.103 3.642 0.000
0.000 0.000 2.690
ATOMIC_POSITIONS crystal
Cu 0.000 0.000 0.000
Ni 0.333 0.667 0.861
Au 0.667 0.333 0.425
```

Values from the calculation:
* ΔE to the lowest computed polymorph: 0.069 eV per atom

=====

(2)
Entry from the Alexandria database: a relaxed structure of Cu2NiAu (GGA-PBE). Values from VASP.

```
&SYSTEM
  ibrav = 0, nat = 4, ntyp = 3
/
ATOMIC_SPECIES
Cu 63.55 Cu.upf
Ni 58.69 Ni.upf
Au 196.97 Au.upf
CELL_PARAMETERS angstrom
4.522 0.000 0.000
0.000 2.747 0.000
-1.430 0.000 4.293
ATOMIC_POSITIONS crystal
Cu 0.000 0.000 0.000
Cu 0.000 0.500 0.500
Ni 0.500 0.000 0.500
Au 0.500 0.500 0.000
```

Values from the calculation:
* raw total energy: -4.2663 eV per atom

=====

(3)
Entry from the Alexandria database: a relaxed structure of Cu2NiAu (GGA-PBE). Values from VASP.

```
&SYSTEM
  ibrav = 0, nat = 4, ntyp = 3
/
ATOMIC_SPECIES
Cu 63.55 Cu.upf
Ni 58.69 Ni.upf
Au 196.97 Au.upf
CELL_PARAMETERS angstrom
2.661 0.000 0.000
0.000 4.286 0.000
-0.480 0.000 4.709
ATOMIC_POSITIONS crystal
Cu 0.221 0.000 0.269
Cu 0.779 0.000 0.731
Ni 0.000 0.500 0.500
Au 0.500 0.500 0.000
```

Values from the calculation:
* raw total energy: -4.2291 eV per atom

=====

(4)
Entry from the Alexandria database: a relaxed structure of CuNi2Au (GGA-PBE). Values from VASP.

```
&SYSTEM
  ibrav = 0, nat = 4, ntyp = 3
/
ATOMIC_SPECIES
Cu 63.55 Cu.upf
Ni 58.69 Ni.upf
Au 196.97 Au.upf
CELL_PARAMETERS angstrom
3.726 0.000 0.000
0.000 3.726 0.000
0.000 0.000 3.731
ATOMIC_POSITIONS crystal
Cu 0.000 0.000 0.000
Ni 0.000 0.500 0.500
Ni 0.500 0.000 0.500
Au 0.500 0.500 0.000
```

Values from the calculation:
* raw total energy: -4.6574 eV per atom

=====

(5)
Entry from the Alexandria database: a relaxed structure of Cu4NiAu2 (GGA-PBE). Values from VASP.

```
&SYSTEM
  ibrav = 0, nat = 7, ntyp = 3
/
ATOMIC_SPECIES
Cu 63.55 Cu.upf
Ni 58.69 Ni.upf
Au 196.97 Au.upf
CELL_PARAMETERS angstrom
3.672 -3.690 0.000
3.672 3.690 0.000
-3.655 0.000 3.792
ATOMIC_POSITIONS crystal
Cu 0.000 0.000 0.000
Cu 0.000 0.500 0.000
Cu 0.500 0.000 0.000
Cu 0.500 0.500 0.000
Ni 0.000 0.000 0.500
Au 0.000 0.500 0.500
Au 0.500 0.000 0.500
```

Values from the calculation:
* ΔE to the lowest computed polymorph: 0.000 eV per atom

=====

(6)
Entry from the Alexandria database: a relaxed structure of CuNi2Au (GGA-PBE). Values from VASP.

```
&SYSTEM
  ibrav = 0, nat = 4, ntyp = 3
/
ATOMIC_SPECIES
Cu 63.55 Cu.upf
Ni 58.69 Ni.upf
Au 196.97 Au.upf
CELL_PARAMETERS angstrom
4.302 -1.349 0.000
4.302 1.349 0.000
-0.878 0.000 4.497
ATOMIC_POSITIONS crystal
Cu 0.000 0.000 0.000
Ni 0.488 0.488 0.460
Ni 0.747 0.747 0.239
Au 0.243 0.243 0.734
```

Values from the calculation:
* raw total energy: -4.6393 eV per atom

=====

(7)
Entry from the Alexandria database: a relaxed structure of CuNiAu2 (GGA-PBE). Values from VASP.

```
&SYSTEM
  ibrav = 0, nat = 4, ntyp = 3
/
ATOMIC_SPECIES
Cu 63.55 Cu.upf
Ni 58.69 Ni.upf
Au 196.97 Au.upf
CELL_PARAMETERS angstrom
4.364 -1.433 0.000
4.364 1.433 0.000
-0.939 0.000 4.808
ATOMIC_POSITIONS crystal
Cu 0.000 0.000 0.000
Ni 0.500 0.500 0.500
Au 0.248 0.248 0.748
Au 0.752 0.752 0.252
```

Values from the calculation:
* raw total energy: -4.0076 eV per atom

=====

(8)
Entry from the Alexandria database: a relaxed structure of Cu2NiAu (GGA-PBE). Values from VASP.

```
&SYSTEM
  ibrav = 0, nat = 4, ntyp = 3
/
ATOMIC_SPECIES
Cu 63.55 Cu.upf
Ni 58.69 Ni.upf
Au 196.97 Au.upf
CELL_PARAMETERS angstrom
-1.901 1.901 3.657
1.901 -1.901 3.657
1.901 1.901 -3.657
ATOMIC_POSITIONS crystal
Cu 0.250 0.750 0.500
Cu 0.750 0.250 0.500
Ni 0.000 0.000 0.000
Au 0.500 0.500 0.000
```

Values from the calculation:
* raw total energy: -4.3052 eV per atom

=====

no.,calculated volume (Å³/f.u.)
1,41.2
2,53.3
3,53.7
4,51.8
5,102.7
6,52.2
7,60.1
8,52.8